Compound: Zn2Cd2F
Source: the Alexandria database
Functional: PBE
Structure: relaxed

Cell: 3.6109 3.6109 7.8680 Å, 76.73 76.73 90.00°
With the nearest neighbours (Å) after each atom.
Fractional positions:
1 Cd 0.5938 0.5938 0.8124  1 Cd 2.79, 4 F 2.91, 4 Zn 2.94
2 Cd 0.4062 0.4062 0.1876  1 Cd 2.79, 4 F 2.91, 4 Zn 2.94
3 F 0.0000 0.0000 0.0000  8 Cd 2.91
4 Zn 0.7500 0.2500 0.5000  4 Zn 2.55
5 Zn 0.2500 0.7500 0.5000  4 Zn 2.55

## Properties
* E_form (uncorrected): -1.7 eV/f.u.
* distance to the lowest polymorph of the same formula: 0.15 eV per formula unit
* DFT total energy: -1.60 eV per atom
* density: 6.4 g/cm3